[1]
{"formula": "KLiSiAu2", "functional": "PBE", "state": "relaxed", "lattice_angstrom": [[4.880, 0.000, 0.000], [0.000, 4.880, 0.000], [0.000, 0.000, 5.044]], "species": ["Au", "K", "Li", "Au", "Si"], "fractional_positions": [[0.000, 0.500, 0.000], [0.500, 0.500, 0.500], [0.000, 0.000, 0.500], [0.500, 0.000, 0.000], [0.000, 0.000, 0.000]], "space_group": "P4/mmm", "magmom_total_mub_per_cell": 0.0, "formation_energy_uncorrected_ev_per_atom": -0.23, "e_tot_ev_per_cell": -16.1}



[2]
{"formula": "KLiSn2Au4", "functional": "PBE", "state": "relaxed", "lattice_angstrom": [[-2.277, 0.263, -4.111], [-2.483, -3.683, -1.555], [-9.512, 2.257, 2.719]], "species": ["K", "Sn", "Au", "Sn", "Au", "Au", "Li", "Au"], "fractional_positions": [[0.000, 0.000, 0.000], [0.760, 0.760, 0.720], [0.590, 0.590, 0.231], [0.240, 0.240, 0.280], [0.143, 0.143, 0.570], [0.857, 0.857, 0.430], [0.500, 0.500, 0.500], [0.410, 0.410, 0.769]], "space_group": "R-3m", "magmom_total_mub_per_cell": 0.0, "e_tot_ev_per_cell": -26.7}